# 1
DFT (PBE-GGA) results for a geometry-optimized HoPuSc3 structure.

Cell: 8.657 8.657 8.657 Å, 143.21 135.85 58.77°
Element x y z (fractional)
Ho 0.274 0.024 0.250
Ho 0.726 0.976 0.750
Pu 0.053 0.803 0.250
Pu 0.947 0.197 0.750
Sc 0.086 0.600 0.487
Sc 0.387 0.400 0.987
Sc 0.500 0.000 0.000
Sc 0.500 0.500 0.500
Sc 0.613 0.600 0.013
Sc 0.914 0.400 0.513

Output
* polymorph energy (0 for the lowest one): 0.0000 eV/atom
* space-group type: Imma, No. 74

# 2
DFT (PBE-GGA) results for a geometry-optimized HoPuSc4 structure.

Cell: 6.603 6.603 8.062 Å, 90.40 90.40 60.22°
Element x y z (fractional)
Ho 0.084 0.084 0.178
Ho 0.916 0.916 0.822
Pu 0.419 0.419 0.835
Pu 0.581 0.581 0.165
Sc 0.083 0.581 0.167
Sc 0.253 0.253 0.513
Sc 0.260 0.740 0.500
Sc 0.419 0.917 0.833
Sc 0.581 0.083 0.167
Sc 0.740 0.260 0.500
Sc 0.747 0.747 0.487
Sc 0.917 0.419 0.833

Output
* polymorph energy (0 for the lowest one): 0.0000 eV/atom
* space-group type: C2/m, No. 12

# 3
DFT (PBE-GGA) results for a geometry-optimized Ho5PuSc structure.

Cell: 7.093 7.093 5.651 Å, 96.95 96.95 73.13°
Element x y z (fractional)
Ho 0.000 0.000 0.000
Ho 0.243 0.243 0.590
Ho 0.315 0.685 0.500
Ho 0.685 0.315 0.500
Ho 0.757 0.757 0.410
Pu 0.000 0.000 0.500
Sc 0.500 0.500 0.000

Output
* space-group type: C2/m, No. 12

# 4
DFT (PBE-GGA) results for a geometry-optimized Ho2PuSc structure.

Cell: 5.434 5.434 5.434 Å, 60.00 60.00 60.00°
Element x y z (fractional)
Ho 0.250 0.250 0.250
Ho 0.750 0.750 0.750
Pu 0.000 0.000 0.000
Sc 0.500 0.500 0.500

Output
* polymorph energy (0 for the lowest one): 0.0774 eV/atom
* space-group type: Fm-3m, No. 225

# 5
DFT (PBE-GGA) results for a geometry-optimized Ho2PuSc structure.

Cell: 4.835 4.835 4.835 Å, 90.00 90.00 90.00°
Element x y z (fractional)
Ho 0.000 0.500 0.000
Ho 0.500 0.000 0.000
Pu 0.000 0.000 0.500
Sc 0.500 0.500 0.500

Output
* polymorph energy (0 for the lowest one): 0.0389 eV/atom
* space-group type: P4/mmm, No. 123

# 6
DFT (PBE-GGA) results for a geometry-optimized Ho3PuSc4 structure.

Cell: 10.765 6.798 5.915 Å, 90.00 90.00 90.00°
Element x y z (fractional)
Ho 0.000 0.130 0.000
Ho 0.249 0.132 0.661
Ho 0.251 0.868 0.161
Ho 0.500 0.870 0.500
Ho 0.749 0.868 0.161
Ho 0.751 0.132 0.661
Pu 0.000 0.868 0.502
Pu 0.500 0.132 0.002
Sc 0.000 0.388 0.493
Sc 0.000 0.622 0.989
Sc 0.248 0.622 0.662
Sc 0.252 0.378 0.162
Sc 0.500 0.378 0.489
Sc 0.500 0.612 0.993
Sc 0.748 0.378 0.162
Sc 0.752 0.622 0.662

Output
* space-group type: Pmn2_1, No. 31

| no. | volume (A^3/atom) | formation energy (eV/atom) |
| --- | --- | --- |
| 1 | 26.81 | 0.236 |
| 2 | 25.42 | 0.069 |
| 3 | 38.43 | 0.936 |
| 4 | 28.37 | 0.182 |
| 5 | 28.26 | 0.143 |
| 6 | 27.05 | 0.052 |